Entry 1:
Li3V4S8 | SCAN | single point on PBEsol structure

Results
The space-group type is R3m, No. 160. The density comes out at 3.3 g/cm³. For the total energy, the calculation gives -11.455 eV per atom. For the total magnetization, the calculation gives 0.895 μB/cell. As for the energy relative to the elements, uncorrected: -1.178 eV per atom. The calculation puts the volume at 240 Å³/cell.

abc: 6.486 6.486 7.568
angles: 64.63 64.63 60.00
Site moments in Bohr magnetons follow the coordinates.
Fractional positions:
Li: 0.653 0.122 0.572  0.00
Li: 0.653 0.653 0.572  0.00
Li: 0.122 0.653 0.572  0.00
V: 0.994 0.994 0.018  -1.34
V: 0.470 0.470 0.012  0.16
V: 0.470 0.048 0.012  0.16
V: 0.048 0.470 0.012  0.16
S: 0.725 0.725 0.824  0.03
S: 0.744 0.236 0.784  0.00
S: 0.759 0.759 0.213  0.02
S: 0.759 0.269 0.213  0.02
S: 0.236 0.236 0.784  0.00
S: 0.236 0.744 0.784  0.00
S: 0.269 0.759 0.213  0.02
S: 0.246 0.246 0.263  0.01

***

Entry 2:
Li2V3S6 | SCAN | single point on PBEsol structure

Results
The space-group type is P6_3/mcm, No. 193. The density comes out at 3.1 g/cm³. For the total energy, the calculation gives -11.555 eV per atom. For the total magnetization, the calculation gives 1.930 μB/cell. As for the energy relative to the elements, uncorrected: -1.100 eV per atom. The calculation puts the volume at 387 Å³/cell.

abc: 5.492 5.492 14.828
angles: 90.00 90.00 120.00
Site moments in Bohr magnetons follow the coordinates.
Fractional positions:
Li: 0.333 0.667 0.500  0.00
Li: 0.333 0.667 0.000  0.00
Li: 0.667 0.333 0.000  0.00
Li: 0.667 0.333 0.500  0.00
V: 0.326 0.000 0.750  0.32
V: 0.674 0.000 0.250  0.32
V: 0.674 0.674 0.750  0.32
V: 0.000 0.674 0.250  0.32
V: 0.326 0.326 0.250  0.32
V: 0.000 0.326 0.750  0.32
S: 0.333 0.667 0.654  -0.02
S: 0.333 0.667 0.154  -0.02
S: 0.000 0.000 0.650  -0.02
S: 0.000 0.000 0.350  -0.02
S: 0.000 0.000 0.150  -0.02
S: 0.333 0.667 0.346  -0.02
S: 0.000 0.000 0.850  -0.02
S: 0.333 0.667 0.846  -0.02
S: 0.667 0.333 0.654  -0.02
S: 0.667 0.333 0.154  -0.02
S: 0.667 0.333 0.846  -0.02
S: 0.667 0.333 0.346  -0.02

***

Entry 3:
Li3VS3 | SCAN | single point on PBEsol structure

Results
The space-group type is R3c, No. 161. The density comes out at 2.7 g/cm³. For the total energy, the calculation gives -8.993 eV per atom. For the total magnetization, the calculation gives 4.000 μB/cell. As for the energy relative to the elements, uncorrected: -1.344 eV per atom. The calculation puts the volume at 205 Å³/cell.

abc: 5.975 6.601 6.601
angles: 68.69 72.44 107.56
Site moments in Bohr magnetons follow the coordinates.
Fractional positions:
Li: 0.858 0.450 0.437  0.00
Li: 0.795 0.887 0.563  0.00
Li: 0.908 0.550 0.887  0.00
Li: 0.295 0.437 0.113  0.00
Li: 0.408 0.113 0.450  0.00
Li: 0.358 0.563 0.550  0.00
V: 0.601 0.000 0.000  1.88
V: 0.101 0.000 0.000  1.88
S: 0.848 0.170 0.180  -0.04
S: 0.528 0.351 0.820  -0.04
S: 0.348 0.820 0.830  -0.04
S: 0.678 0.649 0.170  -0.04
S: 0.178 0.830 0.351  -0.04
S: 0.028 0.180 0.649  -0.04

***

Entry 4:
LiW3S | SCAN | single point on PBEsol structure

Results
The space-group type is Pm-3m, No. 221. The density comes out at 11.5 g/cm³. For the total energy, the calculation gives -43.102 eV per atom. For the total magnetization, the calculation gives 0.000 μB/cell. As for the energy relative to the elements, uncorrected: 1.115 eV per atom. The calculation puts the volume at 85 Å³/cell.

abc: 4.396 4.396 4.396
angles: 90.00 90.00 90.00
Fractional positions:
S: 0.000 0.000 0.000
W: 0.000 0.500 0.000
W: 0.000 0.000 0.500
W: 0.500 0.000 0.000
Li: 0.500 0.500 0.500

***

Entry 5:
LiYS2 | SCAN | single point on PBEsol structure

Results
The space-group type is P4/mmm, No. 123. The density comes out at 3.4 g/cm³. For the total energy, the calculation gives -14.425 eV per atom. For the total magnetization, the calculation gives 0.000 μB/cell. As for the energy relative to the elements, uncorrected: -2.053 eV per atom. The calculation puts the volume at 79 Å³/cell.

abc: 3.864 3.864 5.263
angles: 90.00 90.00 90.00
Fractional positions:
Y: 0.000 0.000 0.000
S: 0.500 0.500 0.000
S: 0.000 0.000 0.500
Li: 0.500 0.500 0.500

***

Entry 6:
Li3YS | SCAN | single point on PBEsol structure

Results
The space-group type is Pm-3m, No. 221. The density comes out at 2.4 g/cm³. For the total energy, the calculation gives -9.282 eV per atom. For the total magnetization, the calculation gives 0.000 μB/cell. As for the energy relative to the elements, uncorrected: -0.354 eV per atom. The calculation puts the volume at 98 Å³/cell.

abc: 4.604 4.604 4.604
angles: 90.00 90.00 90.00
Fractional positions:
Y: 0.500 0.500 0.500
S: 0.000 0.000 0.000
Li: 0.000 0.500 0.000
Li: 0.000 0.000 0.500
Li: 0.500 0.000 0.000